DFT (PBE) results for an optimized crystal structure of CoCu2Rh.

Results
For the size of the total moment, the calculation gives 2.6 μB per formula unit. The formation enthalpy at 0 K comes out at 0.54 eV/f.u. For the total energy, the calculation gives -44.23 eV per cell.

a = 3.619 Å, b = 3.619 Å, c = 7.631 Å
α = 90.00°, β = 90.00°, γ = 90.00°
Space group I4/mmm (No. 139)
Unique sites:
Co (0.000, 0.000, 0.000) (multiplicity 2)
Cu (0.000, 0.500, 0.250) (multiplicity 4)
Rh (0.000, 0.000, 0.500) (multiplicity 2)



DFT (PBE) results for an optimized crystal structure of Co2CuRh2.

Results
As for the energy above the lowest structure with this stoichiometry: 0.046 eV per atom. For the size of the total moment, the calculation gives 5.0 μB per formula unit. The formation enthalpy at 0 K comes out at 1.37 eV/f.u. For the total energy, the calculation gives -63.28 eV per cell.

a = 7.172 Å, b = 7.172 Å, c = 2.665 Å
α = 90.00°, β = 90.00°, γ = 90.00°
Space group P4/mbm (No. 127)
Unique sites:
Co (0.165, 0.335, 0.000) (multiplicity 4)
Cu (0.000, 0.000, 0.500) (multiplicity 2)
Rh (0.133, 0.633, 0.500) (multiplicity 4)



DFT (PBE) results for an optimized crystal structure of CoCu2Rh.

Results
For the size of the total moment, the calculation gives 2.4 μB per formula unit. The formation enthalpy at 0 K comes out at 0.54 eV/f.u. For the total energy, the calculation gives -88.43 eV per cell.

a = 5.857 Å, b = 5.857 Å, c = 5.857 Å
α = 90.00°, β = 90.00°, γ = 90.00°
Space group F-43m (No. 216)
Unique sites:
Co (0.000, 0.000, 0.000) (multiplicity 4)
Cu (0.000, 0.000, 0.500) (multiplicity 4)
Cu (0.250, 0.250, 0.250) (multiplicity 4)
Rh (0.250, 0.250, 0.750) (multiplicity 4)